(1)
The following is a DFT calculation (PBE) of a relaxed PmSmY crystal.

ΔH_f (0 K)	0.05	eV per formula unit
distance to the lowest polymorph of the same formula	0.000	eV per atom
size of the total moment	0.0	μB/f.u.
space-group type	Cm
DOS at the Fermi energy	3.9	states/eV per cell

Cell: 3.649 3.641 9.024 Å, 78.14 89.99 59.93°
Atoms (fractional coordinates):
Pm 0.092 0.239 0.615
Y 0.870 0.680 0.947
Sm 0.650 0.123 0.278



(2)
The following is a DFT calculation (PBE) of a relaxed ZrReSn2Se crystal.

raw formation energy	589	kJ/mol of formula units
size of the total moment	4.6	μB/f.u.
space-group type	P4/mmm
DOS at the Fermi energy	4.4	states/eV per cell

Cell: 5.619 5.025 5.619 Å, 90.00 90.00 90.00°
Each line ends with the local moment (μB).
Atoms (fractional coordinates):
Re 0.500 0.500 0.500  3.79
Sn 0.500 0.000 0.000  -0.03
Sn 0.000 0.000 0.500  -0.04
Zr 0.000 0.000 0.000  0.12
Se 0.000 0.500 0.000  0.01



(3)
The following is a DFT calculation (PBE) of a relaxed Nd7Tl2Pd2 crystal.

ΔH_f (0 K)	-3.10	eV per formula unit
size of the total moment	0.0	μB/f.u.
space-group type	Cmmm
DOS at the Fermi energy	12.4	states/eV per cell

Cell: 7.117 7.343 7.117 Å, 89.99 107.72 90.01°
Atoms (fractional coordinates):
Tl 0.176 0.500 0.176
Tl 0.824 0.500 0.824
Nd 0.500 0.257 0.000
Nd 0.000 0.257 0.500
Nd 0.000 0.000 0.000
Nd 0.500 0.743 0.000
Nd 0.500 0.247 0.500
Nd 0.500 0.753 0.500
Nd 0.000 0.743 0.500
Pd 0.710 0.000 0.290
Pd 0.290 0.000 0.710